1.
A plane-wave DFT calculation with PBE-GGA was carried out for a relaxed structure of Nd8Dy3Ho4.

It has space group C2/m (No. 12), with a = 13.5853 Å, b = 12.8597 Å, c = 6.8613 Å, α = 90.00°, β = 120.31° and γ = 90.00°. The asymmetric unit holds Nd at (0.0000, 0.1517, 0.0000), Nd at (0.0000, 0.2510, 0.5000), Nd at (0.2336, 0.0000, 0.4644), Nd at (0.2355, 0.0000, 0.9958), Dy at (0.0000, 0.0000, 0.5000), Dy at (0.2500, 0.2500, 0.0000), Ho at (0.0000, 0.5000, 0.0000), Ho at (0.0000, 0.5000, 0.5000) and Ho at (0.2500, 0.2500, 0.5000).

The offset from the most stable computed form is 216 meV/atom. As for the formation enthalpy at 0 K: 374.7 meV per atom. Its total magnetic moment is 0.00 μB/atom. Its density of states at the Fermi level is 58.6 states/eV/cell. As for the crystal system: monoclinic.


2.
A plane-wave DFT calculation with PBE-GGA was carried out for a relaxed structure of RbSr2VCr.

It has space group P4/mmm (No. 123), with a = 6.2351 Å, b = 6.2351 Å, c = 6.4438 Å, α = 90.00°, β = 90.00° and γ = 90.00°. The asymmetric unit holds Rb at (0.0000, 0.0000, 0.0000), Sr at (0.0000, 0.5000, 0.5000), V at (0.0000, 0.0000, 0.5000) and Cr at (0.5000, 0.5000, 0.0000).

As for the formation enthalpy at 0 K: 1239.5 meV per atom. Its total magnetic moment is 0.05 μB/atom. Its density of states at the Fermi level is 5.0 states/eV/cell. As for the crystal system: tetragonal.